[1]
Material: HoPuO
Method: DFT, PBE-GGA
State: relaxed

```
data_HoPuO
_cell_length_a 3.4420
_cell_length_b 3.4420
_cell_length_c 6.0205
_cell_angle_alpha 90.00
_cell_angle_beta 90.00
_cell_angle_gamma 120.00
_symmetry_space_group_name_H-M 'P 3 m 1'
_symmetry_Int_Tables_number 156
loop_
_symmetry_equiv_pos_as_xyz
'x,y,z'
'-y,x-y,z'
'-x+y,-x,z'
'-y,-x,z'
'-x+y,y,z'
'x,x-y,z'
loop_
_atom_site_label
_atom_site_fract_x
_atom_site_fract_y
_atom_site_fract_z
_atom_site_occupancy
Ho1 0.0000 0.0000 0.0000 1
Pu1 0.6667 0.3333 0.5290 1
O1 0.3333 0.6667 0.7792 1
```

Values from the calculation:
- Energy above the lowest structure with this stoichiometry: 0.049 eV/atom

---

[2]
Material: Ho2PuO8
Method: DFT, PBE-GGA
State: relaxed

```
data_Ho2PuO8
_cell_length_a 9.766
_cell_length_b 7.185
_cell_length_c 4.581
_cell_angle_alpha 90.00
_cell_angle_beta 109.75
_cell_angle_gamma 90.00
_symmetry_space_group_name_H-M 'C 1 2/m 1'
_symmetry_Int_Tables_number 12
loop_
_symmetry_equiv_pos_as_xyz
'x,y,z'
'-x,-y,-z'
'-x,y,-z'
'x,-y,z'
'x+1/2,y+1/2,z'
'-x+1/2,-y+1/2,-z'
'-x+1/2,y+1/2,-z'
'x+1/2,-y+1/2,z'
loop_
_atom_site_label
_atom_site_fract_x
_atom_site_fract_y
_atom_site_fract_z
_atom_site_occupancy
Ho1 0.165 0.000 0.373 1
Pu1 0.000 0.500 0.000 1
O1 0.085 0.000 0.804 1
O2 0.121 0.500 0.763 1
O3 0.138 0.310 0.268 1
```

---

| no. | density of states at the Fermi level (states/eV/cell) | E_form (uncorrected) (meV per atom) |
| --- | --- | --- |
| 1 | 6.6 | -1558 |
| 2 | 8.8 | -2314 |